! PBE TaTcPd2I, optimized geometry; values from VASP
&SYSTEM
  ibrav = 0, nat = 5, ntyp = 4
/
ATOMIC_SPECIES
Ta 180.95 Ta.upf
Tc 98.00 Tc.upf
Pd 106.42 Pd.upf
I 126.90 I.upf
ATOMIC_POSITIONS angstrom
Ta 0.000 0.000 0.000
Tc 2.461 2.461 2.614
Pd 0.000 2.461 0.000
Pd 2.461 0.000 0.000
I 0.000 0.000 2.614
CELL_PARAMETERS angstrom
4.923 0.000 0.000
0.000 4.923 0.000
0.000 0.000 5.227
! Raw formation energy (eV/atom): 1.463
! Density (g cm⁻³): 8.1
! Density of states at the Fermi level (states/eV/cell): 5.408
! Magnetic moment (μB per cell): 3.5
! E_tot (eV for the cell shown): -26.842